# 1
A plane-wave DFT calculation with PBE was carried out for an optimized crystal structure of Ho2MnNi.

The calculated volume comes out at 20.1 Å³ per atom. As for the total moment: 2.835 μB/cell. The energy of formation from the pure elements comes out at -0.1041 eV/atom.

The space group is P4/mmm (No. 123) and the conventional cell measures 3.3930, 3.3930 and 6.9714 Å, with angles of 90.00, 90.00 and 90.00 degrees. Symmetry generates all atoms from Ho at (0.0000, 0.0000, 0.2378), Mn at (0.5000, 0.5000, 0.5000) and Ni at (0.5000, 0.5000, 0.0000).


# 2
A plane-wave DFT calculation with PBE was carried out for an optimized crystal structure of Ho3MnNi8.

The calculated volume comes out at 14.5 Å³ per atom. As for the total moment: 15.276 μB/cell. The energy of formation from the pure elements comes out at -0.3786 eV/atom.

The space group is R3m (No. 160, hexagonal axes) and the conventional cell measures 4.9682, 4.9682 and 24.4108 Å, with angles of 90.00, 90.00 and 120.00 degrees. Symmetry generates all atoms from Ho at (0.0000, 0.0000, 0.0000), Ho at (0.0000, 0.0000, 0.1286), Ho at (0.0000, 0.0000, 0.5134), Mn at (0.0000, 0.0000, 0.6353), Ni at (0.0000, 0.0000, 0.3173), Ni at (0.0000, 0.0000, 0.8176), Ni at (0.1676, 0.3352, 0.9023) and Ni at (0.1678, 0.3356, 0.3995).